{
  "formula": "Pu2NbSi",
  "functional": "GGA-PBE",
  "state": "relaxed",
  "n_ef_per_ev_cell": 31.82,
  "dft_energy_ev_per_atom": -10.66,
  "formation_energy_uncorrected_ev_per_atom": 0.38,
  "cell": [[2.9185, 0.0000, 0.0000], [-1.4593, 2.5275, 0.0000], [0.0000, 0.0000, 32.9397]],
  "species": ["Pu", "Pu", "Pu", "Pu", "Pu", "Pu", "Nb", "Nb", "Nb", "Si", "Si", "Si"],
  "fractional_positions": [[0.0000, 0.0000, 0.0912], [0.0000, 0.0000, 0.9088], [0.3333, 0.6667, 0.5755], [0.3333, 0.6667, 0.7578], [0.6667, 0.3333, 0.2422], [0.6667, 0.3333, 0.4245], [0.0000, 0.0000, 0.0000], [0.3333, 0.6667, 0.6667], [0.6667, 0.3333, 0.3333], [0.0000, 0.0000, 0.5000], [0.3333, 0.6667, 0.1667], [0.6667, 0.3333, 0.8333]]
}